A relaxed structure of ZnTcH2N, computed with GGA-PBE.

a b c (Å): 2.9870 2.9870 5.8317
angles (deg): 90.00 90.00 90.00
Space group P4/mmm (No. 123)
Unique sites:
Zn 0.0000 0.0000 0.0000 [1 per cell]
Tc 0.0000 0.0000 0.5000 [1 per cell]
H 0.0000 0.5000 0.0000 [2 per cell]
N 0.5000 0.5000 0.5000 [1 per cell]

Summary:
Density of states at the Fermi level in states/eV/cell: 2.25
Total moment in Bohr magnetons per cell: 0.219
V in Å³/f.u.: 52.03
Electronic total energy in eV per cell: -23.7